A plane-wave DFT calculation with PBE-GGA was carried out for BaHo2Al3Ge2Pt after structural relaxation.

Structure (POSCAR):
```
BaHo2Al3Ge2Pt
1.0
-1.7819 1.3767 3.6748
4.3310 -4.4792 3.7781
2.1540 6.7970 -1.5019
Al Pt Ho Ge Ba
3 1 2 2 1
direct
0.5000 0.7812 0.7812
0.5000 0.2209 0.9867
0.5000 0.9867 0.2209
0.0000 0.9799 0.9799
0.0000 0.0050 0.5936
0.0000 0.5936 0.0050
0.5000 0.3222 0.6874
0.5000 0.6874 0.3222
0.0000 0.4231 0.4231
```

Properties
- SG = Amm2 (38)
- total magnetic moment (μB per cell) = 0.006
- electronic total energy (eV per cell) = -44.1
- crystal system = orthorhombic